<P>
A plane-wave DFT calculation with GGA-PBE was carried out for a relaxed MgCuIr crystal.

a b c (Å): 4.327 4.327 2.698
angles (deg): 90.00 90.00 120.00
Last column: magnetic moment on the atom in μB.
Fractional coordinates of all 3 atoms:
Ir (0.667, 0.333, 0.304)  0.37
Mg (0.333, 0.667, 0.713)  0.00
Cu (0.000, 0.000, 0.983)  0.01

Size of the total moment in μB per formula unit: 0.4

<Q>
A plane-wave DFT calculation with GGA-PBE was carried out for a relaxed MgCuIr crystal.

a b c (Å): 4.962 4.962 4.962
angles (deg): 143.15 143.15 53.11
Fractional coordinates of all 3 atoms:
Ir (0.340, 0.340, 0.000)
Mg (0.666, 0.666, 0.000)
Cu (0.993, 0.993, 0.000)

Size of the total moment in μB per formula unit: 0.0

Which one sits at the bottom of the stability order? <P> does.

<P>
A plane-wave DFT calculation with GGA-PBE was carried out for a relaxed Mg6CuIr2 crystal.

a b c (Å): 4.550 4.550 8.474
angles (deg): 89.98 90.00 120.00
Fractional coordinates of all 9 atoms:
Mg (0.667, 0.333, 0.592)
Mg (0.333, 0.667, 0.067)
Mg (0.333, 0.667, 0.408)
Mg (0.667, 0.333, 0.933)
Mg (0.000, 0.000, 0.798)
Mg (0.000, 0.000, 0.202)
Ir (0.333, 0.667, 0.742)
Ir (0.667, 0.333, 0.258)
Cu (0.000, 0.000, 0.500)

Size of the total moment in μB per formula unit: 0.0

<Q>
A plane-wave DFT calculation with GGA-PBE was carried out for a relaxed Mg6CuIr2 crystal.

a b c (Å): 4.420 6.277 7.646
angles (deg): 114.24 106.75 90.00
Fractional coordinates of all 9 atoms:
Mg (0.172, 0.915, 0.343)
Mg (0.828, 0.572, 0.657)
Mg (0.500, 0.261, 0.000)
Mg (0.172, 0.428, 0.343)
Mg (0.828, 0.085, 0.657)
Mg (0.500, 0.739, 0.000)
Ir (0.333, 0.334, 0.668)
Ir (0.667, 0.666, 0.332)
Cu (0.000, 0.000, 0.000)

Size of the total moment in μB per formula unit: 0.0

Which one sits at the bottom of the stability order? <Q> does.

<P>
A plane-wave DFT calculation with GGA-PBE was carried out for a relaxed MgCuSn2Ir crystal.

a b c (Å): 4.843 4.638 4.843
angles (deg): 90.00 90.00 90.00
Fractional coordinates of all 5 atoms:
Mg (0.000, 0.500, 0.000)
Sn (0.000, 0.000, 0.500)
Sn (0.500, 0.000, 0.000)
Ir (0.500, 0.500, 0.500)
Cu (0.000, 0.000, 0.000)

Size of the total moment in μB per formula unit: 0.0

<Q>
A plane-wave DFT calculation with GGA-PBE was carried out for a relaxed MgCuSn2Ir crystal.

a b c (Å): 5.074 5.074 4.957
angles (deg): 90.00 90.00 90.00
Fractional coordinates of all 5 atoms:
Cu (0.000, 0.000, 0.500)
Ir (0.000, 0.000, 0.000)
Mg (0.500, 0.500, 0.500)
Sn (0.500, 0.000, 0.000)
Sn (0.000, 0.500, 0.000)

Size of the total moment in μB per formula unit: 0.0

Which one sits at the bottom of the stability order? <P> does.

<P>
A plane-wave DFT calculation with GGA-PBE was carried out for a relaxed CuMo2Ir crystal.

a b c (Å): 4.904 4.904 4.904
angles (deg): 134.94 134.94 65.62
Fractional coordinates of all 4 atoms:
Ir (0.750, 0.250, 0.500)
Mo (0.500, 0.500, 0.000)
Mo (0.000, 0.000, 0.000)
Cu (0.250, 0.750, 0.500)

Size of the total moment in μB per formula unit: 0.0

<Q>
A plane-wave DFT calculation with GGA-PBE was carried out for a relaxed CuMo2Ir crystal.

a b c (Å): 3.221 3.221 5.677
angles (deg): 90.00 90.00 90.00
Fractional coordinates of all 4 atoms:
Cu (0.000, 0.000, 0.503)
Mo (0.500, 0.500, 0.261)
Mo (0.000, 0.000, 0.002)
Ir (0.500, 0.500, 0.733)

Size of the total moment in μB per formula unit: 0.0

Which one sits at the bottom of the stability order? <Q> does.

<P>
A plane-wave DFT calculation with GGA-PBE was carried out for a relaxed CuMoIr3 crystal.

a b c (Å): 4.704 4.704 4.704
angles (deg): 90.00 90.00 90.00
Fractional coordinates of all 5 atoms:
Mo (0.000, 0.000, 0.000)
Ir (0.000, 0.000, 0.500)
Ir (0.500, 0.000, 0.000)
Ir (0.000, 0.500, 0.000)
Cu (0.500, 0.500, 0.500)

Size of the total moment in μB per formula unit: 0.0

<Q>
A plane-wave DFT calculation with GGA-PBE was carried out for a relaxed CuMoIr3 crystal.

a b c (Å): 4.401 4.401 4.401
angles (deg): 90.00 90.00 90.00
Fractional coordinates of all 5 atoms:
Ir (0.000, 0.000, 0.500)
Ir (0.500, 0.000, 0.000)
Ir (0.000, 0.500, 0.000)
Cu (0.000, 0.000, 0.000)
Mo (0.500, 0.500, 0.500)

Size of the total moment in μB per formula unit: 0.0

Which one sits at the bottom of the stability order? <P> does.

<P>
A plane-wave DFT calculation with GGA-PBE was carried out for a relaxed CuMo3Ir crystal.

a b c (Å): 4.731 4.731 4.731
angles (deg): 90.00 90.00 90.00
Fractional coordinates of all 5 atoms:
Mo (0.500, 0.000, 0.000)
Mo (0.000, 0.500, 0.000)
Mo (0.000, 0.000, 0.500)
Cu (0.500, 0.500, 0.500)
Ir (0.000, 0.000, 0.000)

Size of the total moment in μB per formula unit: 0.0

<Q>
A plane-wave DFT calculation with GGA-PBE was carried out for a relaxed CuMo3Ir crystal.

a b c (Å): 4.430 4.430 4.430
angles (deg): 90.00 90.00 90.00
Fractional coordinates of all 5 atoms:
Cu (0.000, 0.000, 0.000)
Mo (0.500, 0.000, 0.000)
Mo (0.000, 0.500, 0.000)
Mo (0.000, 0.000, 0.500)
Ir (0.500, 0.500, 0.500)

Size of the total moment in μB per formula unit: 0.0

Which one sits at the bottom of the stability order? <P> does.

<P>
A plane-wave DFT calculation with GGA-PBE was carried out for a relaxed CuIrN2 crystal.

a b c (Å): 6.012 6.012 6.012
angles (deg): 29.99 29.99 29.99
Fractional coordinates of all 4 atoms:
N (0.108, 0.108, 0.108)
N (0.892, 0.892, 0.892)
Ir (0.500, 0.500, 0.500)
Cu (0.000, 0.000, 0.000)

Size of the total moment in μB per formula unit: 0.0

<Q>
A plane-wave DFT calculation with GGA-PBE was carried out for a relaxed CuIrN2 crystal.

a b c (Å): 4.506 4.506 5.691
angles (deg): 66.68 66.68 90.00
Fractional coordinates of all 8 atoms:
Cu (0.250, 0.750, 0.500)
Cu (0.500, 0.500, 0.000)
N (0.113, 0.625, 0.250)
N (0.637, 0.125, 0.250)
N (0.875, 0.887, 0.750)
N (0.375, 0.363, 0.750)
Ir (0.000, 0.000, 0.000)
Ir (0.750, 0.250, 0.500)

Size of the total moment in μB per formula unit: 0.0

Which one sits at the bottom of the stability order? <P> does.

<P>
A plane-wave DFT calculation with GGA-PBE was carried out for a relaxed CuIrSN2 crystal.

a b c (Å): 3.630 3.630 4.940
angles (deg): 90.00 90.00 90.00
Last column: magnetic moment on the atom in μB.
Fractional coordinates of all 5 atoms:
S (0.000, 0.000, 0.500)  0.08
N (0.500, 0.000, 0.000)  0.69
N (0.000, 0.500, 0.000)  0.69
Ir (0.500, 0.500, 0.500)  -0.09
Cu (0.000, 0.000, 0.000)  0.14

Size of the total moment in μB per formula unit: 2.0

<Q>
A plane-wave DFT calculation with GGA-PBE was carried out for a relaxed CuIrSN2 crystal.

a b c (Å): 3.711 3.711 5.443
angles (deg): 90.00 90.00 90.00
Last column: magnetic moment on the atom in μB.
Fractional coordinates of all 5 atoms:
Cu (0.500, 0.500, 0.500)  0.01
N (0.000, 0.500, 0.000)  0.11
N (0.500, 0.000, 0.000)  0.11
S (0.000, 0.000, 0.500)  0.01
Ir (0.000, 0.000, 0.000)  -0.01

Size of the total moment in μB per formula unit: 0.3

Which one sits at the bottom of the stability order? <P> does.